A plane-wave DFT calculation with GGA+U was carried out for an optimized crystal structure of Li7Mn2Co3O12.

Output
Relative energy among the computed polymorphs in eV per atom: 0.035
Total magnetization in μB/atom: 0.75
DFT total energy in Ha/atom: -0.2154

Cell: 9.831 8.859 5.006 Å, 90.00 99.25 90.00°
Space group C2 (No. 5)
One atom of each set of equivalent atoms:
Li1 0.000 0.000 0.000 [2 per cell]
Li2 0.242 0.836 0.240 [4 per cell]
Li3 0.243 0.998 0.750 [4 per cell]
Li4 0.247 0.161 0.251 [4 per cell]
Mn1 0.000 0.330 0.000 [2 per cell]
Mn2 0.000 0.499 0.500 [2 per cell]
Co1 0.000 0.154 0.500 [2 per cell]
Co2 0.000 0.679 0.000 [2 per cell]
Co3 0.000 0.839 0.500 [2 per cell]
O1 0.109 0.493 0.861 [4 per cell]
O2 0.110 0.340 0.357 [4 per cell]
O3 0.112 0.182 0.863 [4 per cell]
O4 0.113 0.652 0.374 [4 per cell]
O5 0.116 0.823 0.862 [4 per cell]
O6 0.121 0.998 0.390 [4 per cell]